Hf2OsRu after structural relaxation, computed with PBE.

```
Hf2OsRu
1.0
0.0000 3.2479 3.2479
3.2479 0.0000 3.2479
3.2479 3.2479 0.0000
Hf Os Ru
2 1 1
Direct
0.2500 0.2500 0.2500 Hf
0.7500 0.7500 0.7500 Hf
0.5000 0.5000 0.5000 Os
0.0000 0.0000 0.0000 Ru
```



HfOsRu2 after structural relaxation, computed with PBE.

```
HfOsRu2
1.0
0.0000 3.1654 3.1654
3.1654 0.0000 3.1654
3.1654 3.1654 0.0000
Hf Os Ru
1 1 2
Direct
0.0000 0.0000 0.0000 Hf
0.5000 0.5000 0.5000 Os
0.2500 0.2500 0.2500 Ru
0.7500 0.7500 0.7500 Ru
```



HfOsRu3 after structural relaxation, computed with PBE.

```
HfOsRu3
1.0
-1.8416 3.9095 -1.6052
-1.8116 -2.3123 -3.5530
-3.8182 -0.7885 2.4600
Hf Os Ru
1 1 3
Direct
0.0000 0.0000 0.0000 Hf
0.5000 0.5000 0.5000 Os
0.0000 0.5000 0.0000 Ru
0.0000 0.0000 0.5000 Ru
0.5000 0.0000 0.0000 Ru
```



| no. | total energy (Ry/atom) |
| --- | --- |
| 1 | -0.79905 |
| 2 | -0.72567 |
| 3 | -0.56284 |